Material: Li2ZnRh
Method: DFT, PBEsol
State: relaxed

POSCAR file:
```
Li2ZnRh
1.0
5.030 0.000 0.000
0.000 8.772 0.000
-1.413 0.000 2.415
Li Zn Rh
4 2 2
Direct
0.250 0.250 0.000
0.250 0.750 0.000
0.750 0.250 0.000
0.750 0.750 0.000
0.000 0.000 0.500
0.500 0.500 0.500
0.000 0.500 0.500
0.500 0.000 0.500
```

As for the crystal system: monoclinic.


Material: Li2ZnRh
Method: DFT, PBEsol
State: relaxed

POSCAR file:
```
Li2ZnRh
1.0
4.179 0.000 0.000
0.000 4.179 0.000
0.000 0.000 5.930
Li Zn Rh
4 2 2
Direct
0.000 0.000 0.000
0.000 0.500 0.250
0.500 0.000 0.750
0.500 0.500 0.500
0.000 0.000 0.500
0.500 0.500 0.000
0.000 0.500 0.750
0.500 0.000 0.250
```

As for the crystal system: tetragonal.


Material: Li2ZnRh
Method: DFT, PBEsol
State: relaxed

POSCAR file:
```
Li2ZnRh
1.0
3.111 0.000 0.000
0.000 3.111 0.000
0.000 0.000 5.707
Li Zn Rh
2 1 1
Direct
0.000 0.000 0.000
0.500 0.500 0.281
0.500 0.500 0.730
0.000 0.000 0.514
```

As for the crystal system: tetragonal.


Taking the records one at a time from the top gives DFT total energy values of -28.88; -29.33; -14.39 eV per cell.
Taking the records one at a time from the top gives DOS(E_F) values of 3.5; 2.1; 1.1 states/eV/cell.